KBa2SrAu | PBE-GGA | relaxed

extended XYZ file:
```
5
Lattice="6.5782 0.0000 0.0000 0.0000 6.5782 0.0000 0.0000 0.0000 6.3197" Properties=species:S:1:pos:R:3 pbc="T T T"
K 0.0000 0.0000 0.0000
Ba 0.0000 3.2891 3.1599
Ba 3.2891 0.0000 3.1599
Sr 3.2891 3.2891 0.0000
Au 3.2891 3.2891 3.1599
```

distance to the lowest polymorph of the same formula = 0.000 eV/atom
energy = -2.2832 eV per atom
formation enthalpy at 0 K = -302.8 meV per atom

***

KBa2SrAu | PBE-GGA | relaxed

extended XYZ file:
```
5
Lattice="6.4878 0.0000 0.0000 0.0000 6.4878 0.0000 0.0000 0.0000 6.5583" Properties=species:S:1:pos:R:3 pbc="T T T"
K 0.0000 0.0000 0.0000
Ba 0.0000 3.2439 3.2792
Ba 3.2439 0.0000 3.2792
Sr 3.2439 3.2439 0.0000
Au 0.0000 0.0000 3.2792
```

distance to the lowest polymorph of the same formula = 0.106 eV/atom
energy = -2.1767 eV per atom
formation enthalpy at 0 K = -196.3 meV per atom

***

KBaTe2Au | PBE-GGA | relaxed

extended XYZ file:
```
10
Lattice="4.6858 -8.8051 0.0000 4.6858 8.8051 0.0000 0.0000 0.0000 5.5426" Properties=species:S:1:pos:R:3 pbc="T T T"
K 4.6858 4.4026 4.2282
K 4.6858 -4.4026 1.3144
Ba 2.3429 0.0000 2.7713
Ba 7.0288 0.0000 2.7713
Te 4.6858 6.5940 1.4036
Te 4.6858 2.2111 1.4036
Te 4.6858 -2.2111 4.1390
Te 4.6858 -6.5940 4.1390
Au 0.0000 0.0000 0.0000
Au 4.6858 0.0000 0.0000
```

energy = -3.5369 eV per atom
uncorrected formation energy = -1021 meV per atom

***

KBa2TlAu | PBE-GGA | relaxed

extended XYZ file:
```
5
Lattice="6.4803 0.0000 0.0000 0.0000 6.4803 0.0000 0.0000 0.0000 5.7058" Properties=species:S:1:pos:R:3 pbc="T T T"
K 0.0000 0.0000 0.0000
Ba 0.0000 3.2401 2.8529
Ba 3.2401 0.0000 2.8529
Tl 3.2401 3.2401 0.0000
Au 3.2401 3.2401 2.8529
```

energy = -2.3246 eV per atom
formation enthalpy at 0 K = -207.3 meV per atom

***

Among the records above, which one has the highest energy?
number 2

***

Look up the energy of the fourth one.
-2.3246 eV per atom

***

The lowest energy belongs to which entry?
KBaTe2Au

***

Which formula does entry 4 have?
KBa2TlAu